Record 1
# MgAgSnS4 | Alexandria via LeMat-Bulk | PBE | relaxed
data_MgAgSnS4
_cell_length_a 7.616
_cell_length_b 7.749
_cell_length_c 10.529
_cell_angle_alpha 90.00
_cell_angle_beta 90.00
_cell_angle_gamma 90.00
_symmetry_space_group_name_H-M 'I m m a'
_symmetry_Int_Tables_number 74
_symmetry_space_group_name_Hall '-I 2b 2'
loop_
_atom_site_label
_atom_site_fract_x
_atom_site_fract_y
_atom_site_fract_z
_atom_site_occupancy
Mg1 0.000 0.000 0.000 1
Ag1 0.000 0.250 0.388 1
Sn1 0.250 0.250 0.750 1
S1 0.000 0.018 0.752 1
S2 0.222 0.250 0.991 1
# Raw formation energy: -494 meV per atom
# Crystal system: orthorhombic
# Uncorrected energy: -4.0599 eV/atom

=====

Record 2
# Rb3BiMo | Alexandria via LeMat-Bulk | PBE | relaxed
data_Rb3BiMo
_cell_length_a 7.143
_cell_length_b 7.143
_cell_length_c 7.143
_cell_angle_alpha 90.00
_cell_angle_beta 90.00
_cell_angle_gamma 90.00
_symmetry_space_group_name_H-M 'P m -3 m'
_symmetry_Int_Tables_number 221
_symmetry_space_group_name_Hall '-P 4 2 3'
loop_
_atom_site_label
_atom_site_fract_x
_atom_site_fract_y
_atom_site_fract_z
_atom_site_occupancy
Rb1 0.000 0.000 0.500 1
Bi1 0.000 0.000 0.000 1
Mo1 0.500 0.500 0.500 1
# Crystal system: cubic
# Energy relative to the lowest polymorph listed for this composition: 0 kJ/mol of formula units
# ΔH_f (0 K): 0.980 eV/atom
# Uncorrected energy: -2.5431 eV/atom

=====

Record 3
# MgZnTc2 | Alexandria via LeMat-Bulk | PBE | relaxed
data_MgZnTc2
_cell_length_a 5.314
_cell_length_b 8.955
_cell_length_c 2.650
_cell_angle_alpha 90.00
_cell_angle_beta 106.76
_cell_angle_gamma 90.00
_symmetry_space_group_name_H-M 'C 1 2/m 1'
_symmetry_Int_Tables_number 12
loop_
_symmetry_equiv_pos_as_xyz
'x,y,z'
'-x,-y,-z'
'-x,y,-z'
'x,-y,z'
'x+1/2,y+1/2,z'
'-x+1/2,-y+1/2,-z'
'-x+1/2,y+1/2,-z'
'x+1/2,-y+1/2,z'
loop_
_atom_site_label
_atom_site_fract_x
_atom_site_fract_y
_atom_site_fract_z
_atom_site_occupancy
Mg1 0.000 0.000 0.000 1
Zn1 0.000 0.500 0.000 1
Tc1 0.250 0.250 0.500 1
# Crystal system: monoclinic
# Energy relative to the lowest polymorph listed for this composition: 90 kJ/mol of formula units
# ΔH_f (0 K): 0.182 eV/atom
# Uncorrected energy: -5.7179 eV/atom

=====

Record 4
# LaTmMg | Alexandria via LeMat-Bulk | PBE | relaxed
data_LaTmMg
_cell_length_a 5.5370
_cell_length_b 5.5370
_cell_length_c 3.4218
_cell_angle_alpha 90.00
_cell_angle_beta 90.00
_cell_angle_gamma 120.00
_symmetry_space_group_name_H-M 'P 3 m 1'
_symmetry_Int_Tables_number 156
loop_
_symmetry_equiv_pos_as_xyz
'x,y,z'
'-y,x-y,z'
'-x+y,-x,z'
'-y,-x,z'
'-x+y,y,z'
'x,x-y,z'
loop_
_atom_site_label
_atom_site_fract_x
_atom_site_fract_y
_atom_site_fract_z
_atom_site_occupancy
La1 0.0000 0.0000 0.0000 1
Tm1 0.6667 0.3333 0.5733 1
Mg1 0.3333 0.6667 0.3463 1
# Crystal system: trigonal
# Energy relative to the lowest polymorph listed for this composition: 26 kJ/mol of formula units
# ΔH_f (0 K): 0.049 eV/atom
# Uncorrected energy: -3.6152 eV/atom

=====

Record 5
# Ac2Ni4As3Au | Alexandria via LeMat-Bulk | PBE | relaxed
data_Ac2Ni4As3Au
_cell_length_a 4.357
_cell_length_b 4.357
_cell_length_c 9.806
_cell_angle_alpha 90.00
_cell_angle_beta 90.00
_cell_angle_gamma 90.00
_symmetry_space_group_name_H-M 'P -4 m 2'
_symmetry_Int_Tables_number 115
loop_
_symmetry_equiv_pos_as_xyz
'x,y,z'
'y,-x,-z'
'-x,-y,z'
'-y,x,-z'
'-x,y,z'
'-y,-x,-z'
'x,-y,z'
'y,x,-z'
loop_
_atom_site_label
_atom_site_fract_x
_atom_site_fract_y
_atom_site_fract_z
_atom_site_occupancy
Ac1 0.000 0.500 0.243 1
Ni1 0.000 0.000 0.000 1
Ni2 0.000 0.500 0.632 1
Ni3 0.500 0.500 0.000 1
As1 0.000 0.500 0.877 1
As2 0.500 0.500 0.500 1
Au1 0.000 0.000 0.500 1
# Crystal system: tetragonal
# ΔH_f (0 K): -0.697 eV/atom
# Uncorrected energy: -5.5539 eV/atom

=====

Record 6
# Y2Au | Alexandria via LeMat-Bulk | PBE | relaxed
data_Y2Au
_cell_length_a 3.782
_cell_length_b 12.818
_cell_length_c 6.887
_cell_angle_alpha 90.00
_cell_angle_beta 90.00
_cell_angle_gamma 90.00
_symmetry_space_group_name_H-M 'C m c 21'
_symmetry_Int_Tables_number 36
loop_
_symmetry_equiv_pos_as_xyz
'x,y,z'
'-x,-y,z+1/2'
'-x,y,z'
'x,-y,z+1/2'
'x+1/2,y+1/2,z'
'-x+1/2,-y+1/2,z+1/2'
'-x+1/2,y+1/2,z'
'x+1/2,-y+1/2,z+1/2'
loop_
_atom_site_label
_atom_site_fract_x
_atom_site_fract_y
_atom_site_fract_z
_atom_site_occupancy
Y1 0.000 0.024 0.000 1
Y2 0.000 0.295 0.815 1
Au1 0.000 0.380 0.227 1
# Crystal system: orthorhombic
# ΔH_f (0 K): -0.583 eV/atom
# Uncorrected energy: -5.9847 eV/atom